SmEuTm4 GGA-PBE optimized geometry; DFT formation energy = 25 kJ/mol of atoms; SG = No. 216
1.0
0.0000 4.6948 4.6948
4.6948 0.0000 4.6948
4.6948 4.6948 0.0000
Sm Eu Tm
1 1 4
Direct
0.0000 0.0000 0.0000 Sm
0.7500 0.7500 0.7500 Eu
0.3739 0.3739 0.3739 Tm
0.3739 0.3739 0.8783 Tm
0.3739 0.8783 0.3739 Tm
0.8783 0.3739 0.3739 Tm

***

La2ZrNi GGA-PBE optimized geometry; DFT formation energy = 22 kJ/mol of atoms; SG = No. 119; polymorph energy (0 for the lowest one) = 313 meV/atom
1.0
-2.1914 2.1914 5.1841
2.1914 -2.1914 5.1841
2.1914 2.1914 -5.1841
La Zr Ni
2 1 1
Direct
0.0000 0.0000 0.0000 La
0.7500 0.2500 0.5000 La
0.5000 0.5000 0.0000 Zr
0.2500 0.7500 0.5000 Ni

***

DyMgCd2 GGA-PBE optimized geometry; DFT formation energy = -23 kJ/mol of atoms; SG = No. 123; polymorph energy (0 for the lowest one) = 63 meV/atom
1.0
5.0106 0.0000 0.0000
0.0000 5.0106 0.0000
0.0000 0.0000 3.8562
Dy Mg Cd
1 1 2
Direct
0.0000 0.0000 0.0000 Dy
0.5000 0.5000 0.0000 Mg
0.0000 0.5000 0.5000 Cd
0.5000 0.0000 0.5000 Cd

***

TeRhPbBr2 GGA-PBE optimized geometry; SG = No. 123; uncorrected formation energy = 0.83 eV per atom
1.0
5.3939 0.0000 0.0000
0.0000 5.3939 0.0000
0.0000 0.0000 6.5033
Te Rh Pb Br
1 1 1 2
Direct
0.0000 0.0000 0.0000 Te
0.5000 0.5000 0.5000 Rh
0.0000 0.0000 0.5000 Pb
0.0000 0.5000 0.0000 Br
0.5000 0.0000 0.0000 Br

***

BaCa2LaIr GGA-PBE optimized geometry; DFT formation energy = -28 kJ/mol of atoms; SG = No. 123
1.0
5.8444 0.0000 0.0000
0.0000 5.8444 0.0000
0.0000 0.0000 5.5545
Ba Ca La Ir
1 2 1 1
Direct
0.0000 0.0000 0.0000 Ba
0.0000 0.5000 0.5000 Ca
0.5000 0.0000 0.5000 Ca
0.5000 0.5000 0.0000 La
0.5000 0.5000 0.5000 Ir

***

Zr2ReNi GGA-PBE optimized geometry; DFT formation energy = 4 kJ/mol of atoms; SG = No. 166
1.0
1.6025 0.9252 8.1518
-1.6025 0.9252 8.1518
0.0000 -1.8504 8.1518
Zr Re Ni
2 1 1
Direct
0.2475 0.2475 0.2475 Zr
0.7525 0.7525 0.7525 Zr
0.0000 0.0000 0.0000 Re
0.5000 0.5000 0.5000 Ni